# PBE KTc2Cl, relaxed
data_KTc2Cl
_chemical_formula_sum 'K2 Tc4 Cl2'
_symmetry_space_group_name_H-M 'C m m m'
_symmetry_Int_Tables_number 65
_symmetry_space_group_name_Hall '-C 2 2'
_cell_length_a 2.907
_cell_length_b 5.024
_cell_length_c 10.132
_cell_angle_alpha 90.00
_cell_angle_beta 90.00
_cell_angle_gamma 90.00
loop_
_atom_site_label
_atom_site_type_symbol
_atom_site_fract_x
_atom_site_fract_y
_atom_site_fract_z
K1 K 0.000 0.000 0.000
Tc1 Tc 0.000 0.500 0.297
Cl1 Cl 0.000 0.000 0.500
# E_form (uncorrected)   1.15 eV per atom
# Distance to the lowest polymorph of the same formula   1.101 eV/atom

=====

# PBE La2PmSi6, relaxed
data_La2PmSi6
_chemical_formula_sum 'La2 Pm1 Si6'
_symmetry_space_group_name_H-M 'P 6/m m m'
_symmetry_Int_Tables_number 191
_symmetry_space_group_name_Hall '-P 6 2'
_cell_length_a 7.1798
_cell_length_b 7.1798
_cell_length_c 4.2600
_cell_angle_alpha 90.00
_cell_angle_beta 90.00
_cell_angle_gamma 120.00
loop_
_atom_site_label
_atom_site_type_symbol
_atom_site_fract_x
_atom_site_fract_y
_atom_site_fract_z
La1 La 0.3333 0.6667 0.0000
Pm1 Pm 0.0000 0.0000 0.0000
Si1 Si 0.0000 0.3312 0.5000
# E_form (uncorrected)   -0.62 eV per atom

=====

# PBE Cr5Hg4, relaxed
data_Cr5Hg4
_chemical_formula_sum 'Cr10 Hg8'
_symmetry_space_group_name_H-M 'I 4/m m m'
_symmetry_Int_Tables_number 139
_symmetry_space_group_name_Hall '-I 4 2'
_cell_length_a 9.070
_cell_length_b 9.070
_cell_length_c 4.027
_cell_angle_alpha 90.00
_cell_angle_beta 90.00
_cell_angle_gamma 90.00
loop_
_atom_site_label
_atom_site_type_symbol
_atom_site_fract_x
_atom_site_fract_y
_atom_site_fract_z
Cr1 Cr 0.000 0.000 0.000
Cr2 Cr 0.158 0.158 0.500
Hg1 Hg 0.000 0.318 0.000
# Formation enthalpy at 0 K   52.2 kJ/mol of atoms

=====

# PBE AcSm2In2Ag2, relaxed
data_AcSm2In2Ag2
_chemical_formula_sum 'Ac3 Sm6 In6 Ag6'
_symmetry_space_group_name_H-M 'R -3 m'
_symmetry_Int_Tables_number 166
_symmetry_space_group_name_Hall '-R 3 2"'
_cell_length_a 4.9475
_cell_length_b 4.9475
_cell_length_c 28.4773
_cell_angle_alpha 90.00
_cell_angle_beta 90.00
_cell_angle_gamma 120.00
loop_
_atom_site_label
_atom_site_type_symbol
_atom_site_fract_x
_atom_site_fract_y
_atom_site_fract_z
Ac1 Ac 0.0000 0.0000 0.0000
Sm1 Sm 0.0000 0.0000 0.1286
In1 In 0.0000 0.0000 0.2539
Ag1 Ag 0.0000 0.0000 0.4105
# Formation enthalpy at 0 K   -31.0 kJ/mol of atoms

=====

# PBE CoP2CS, relaxed
data_CoP2CS
_chemical_formula_sum 'Co1 P2 C1 S1'
_symmetry_space_group_name_H-M 'P 4/m m m'
_symmetry_Int_Tables_number 123
_symmetry_space_group_name_Hall '-P 4 2'
_cell_length_a 3.859
_cell_length_b 3.859
_cell_length_c 4.161
_cell_angle_alpha 90.00
_cell_angle_beta 90.00
_cell_angle_gamma 90.00
loop_
_atom_site_label
_atom_site_type_symbol
_atom_site_fract_x
_atom_site_fract_y
_atom_site_fract_z
Co1 Co 0.000 0.000 0.000
P1 P 0.000 0.500 0.500
C1 C 0.500 0.500 0.500
S1 S 0.500 0.500 0.000
# E_form (uncorrected)   1.22 eV per atom
# Distance to the lowest polymorph of the same formula   0.000 eV/atom

=====

# PBE LaNd2Er4Sc, relaxed
data_LaNd2Er4Sc
_chemical_formula_sum 'La4 Nd8 Er16 Sc4'
_symmetry_space_group_name_H-M 'C 1 2/c 1'
_symmetry_Int_Tables_number 15
_cell_length_a 13.527
_cell_length_b 13.107
_cell_length_c 6.746
_cell_angle_alpha 90.00
_cell_angle_beta 119.89
_cell_angle_gamma 90.00
loop_
_symmetry_equiv_pos_as_xyz
'x,y,z'
'-x,-y,-z'
'-x,y,-z+1/2'
'x,-y,z+1/2'
'x+1/2,y+1/2,z'
'-x+1/2,-y+1/2,-z'
'-x+1/2,y+1/2,-z+1/2'
'x+1/2,-y+1/2,z+1/2'
loop_
_atom_site_label
_atom_site_type_symbol
_atom_site_fract_x
_atom_site_fract_y
_atom_site_fract_z
La1 La 0.250 0.250 0.000
Nd1 Nd 0.000 0.000 0.000
Nd2 Nd 0.250 0.250 0.500
Er1 Er 0.000 0.264 0.001
Er2 Er 0.234 0.500 0.483
Sc1 Sc 0.000 0.500 0.000
# Formation enthalpy at 0 K   38.9 kJ/mol of atoms

=====

# PBE Pm2Sc3Co2, relaxed
data_Pm2Sc3Co2
_chemical_formula_sum 'Pm4 Sc6 Co4'
_symmetry_space_group_name_H-M 'C 1 2/m 1'
_symmetry_Int_Tables_number 12
_cell_length_a 11.703
_cell_length_b 3.487
_cell_length_c 8.612
_cell_angle_alpha 90.00
_cell_angle_beta 117.31
_cell_angle_gamma 90.00
loop_
_symmetry_equiv_pos_as_xyz
'x,y,z'
'-x,-y,-z'
'-x,y,-z'
'x,-y,z'
'x+1/2,y+1/2,z'
'-x+1/2,-y+1/2,-z'
'-x+1/2,y+1/2,-z'
'x+1/2,-y+1/2,z'
loop_
_atom_site_label
_atom_site_type_symbol
_atom_site_fract_x
_atom_site_fract_y
_atom_site_fract_z
Pm1 Pm 0.161 0.000 0.297
Sc1 Sc 0.000 0.500 0.500
Sc2 Sc 0.124 0.500 0.927
Co1 Co 0.167 0.000 0.740
# Formation enthalpy at 0 K   -16.5 kJ/mol of atoms

=====

# PBE TmScCdAu, relaxed
data_TmScCdAu
_chemical_formula_sum 'Tm4 Sc4 Cd4 Au4'
_symmetry_space_group_name_H-M 'F -4 3 m'
_symmetry_Int_Tables_number 216
_symmetry_space_group_name_Hall 'F -4 2 3'
_cell_length_a 7.090
_cell_length_b 7.090
_cell_length_c 7.090
_cell_angle_alpha 90.00
_cell_angle_beta 90.00
_cell_angle_gamma 90.00
loop_
_atom_site_label
_atom_site_type_symbol
_atom_site_fract_x
_atom_site_fract_y
_atom_site_fract_z
Tm1 Tm 0.000 0.000 0.000
Sc1 Sc 0.000 0.000 0.500
Cd1 Cd 0.250 0.250 0.250
Au1 Au 0.250 0.250 0.750
# Formation enthalpy at 0 K   -52.1 kJ/mol of atoms
# Distance to the lowest polymorph of the same formula   0.034 eV/atom

=====

What is the formula in the second record? La2PmSi6